Record 1
First-principles (SCAN) data for MgCd2Cu at its PBEsol-relaxed geometry, as listed in the Alexandria database.

Cell lengths 3.2758, 3.2758, 6.5879 Å; angles 90.00, 90.00, 90.00 degrees
With the nearest neighbours (Å) after each atom.
Element x y z (fractional)
Mg  0.0000  0.0000  0.0000  8 Cd 2.95, 4 Mg 3.28, 2 Cu 3.29
Cd  0.5000  0.5000  0.2778  4 Cu 2.74, 1 Cd 2.93, 4 Mg 2.95
Cd  0.5000  0.5000  0.7222  4 Cu 2.74, 1 Cd 2.93, 4 Mg 2.95
Cu  0.0000  0.0000  0.5000  8 Cd 2.74

Values from the calculation:
The energy of formation comes out at -0.042 eV/atom.


Record 2
First-principles (SCAN) data for La2CuHg at its PBEsol-relaxed geometry, as listed in the Alexandria database.

Cell lengths 3.7013, 4.8957, 5.4959 Å; angles 90.00, 90.00, 90.00 degrees
With the nearest neighbours (Å) after each atom.
Element x y z (fractional)
La  0.0000  0.0000  0.0000  4 Hg 3.16, 4 Cu 3.16-3.47, 2 La 3.29
La  0.0000  0.5000  0.4003  4 Hg 3.15-3.48, 4 Cu 3.15, 2 La 3.29
Cu  0.5000  0.0000  0.5332  2 Hg 3.05, 6 La 3.15-3.16
Hg  0.5000  0.5000  0.8649  2 Cu 3.05, 6 La 3.15-3.16

Values from the calculation:
The energy of formation comes out at -0.409 eV/atom.


Record 3
First-principles (SCAN) data for NiP3 at its PBEsol-relaxed geometry, as listed in the Alexandria database.

Cell lengths 5.9007, 5.9007, 5.9007 Å; angles 32.30, 32.30, 32.30 degrees
With the nearest neighbours (Å) after each atom.
Element x y z (fractional)
Ni  0.0000  0.0000  0.0000  6 P 2.32
P  0.2534  0.2534  0.2534  3 Ni 2.32, 3 P 2.39
P  0.5000  0.5000  0.5000  6 P 2.39
P  0.7466  0.7466  0.7466  3 Ni 2.32, 3 P 2.39

Values from the calculation:
For the relative energy among the computed polymorphs, the calculation gives 355 meV/atom. The energy of formation comes out at 0.020 eV/atom.


Record 4
First-principles (SCAN) data for KTcRh2 at its PBEsol-relaxed geometry, as listed in the Alexandria database.

Cell lengths 9.9250, 9.9250, 9.9250 Å; angles 15.97, 15.97, 15.97 degrees
With the nearest neighbours (Å) after each atom.
Element x y z (fractional)
K  0.0000  0.0000  0.0000  6 K 2.76
Tc  0.5000  0.5000  0.5000  6 Rh 2.62, 6 Tc 2.76
Rh  0.2377  0.2377  0.2377  3 Tc 2.62, 6 Rh 2.76
Rh  0.7623  0.7623  0.7623  3 Tc 2.62, 6 Rh 2.76

Values from the calculation:
For the relative energy among the computed polymorphs, the calculation gives 121 meV/atom. The energy of formation comes out at 0.459 eV/atom.


Record 5
First-principles (SCAN) data for Dy3Ir2 at its PBEsol-relaxed geometry, as listed in the Alexandria database.

Cell lengths 14.6525, 14.6525, 14.6525 Å; angles 135.68, 135.68, 64.48 degrees
With the nearest neighbours (Å) after each atom.
Element x y z (fractional)
Dy  0.9995  0.2779  0.1336  4 Ir 2.84-3.00
Dy  0.0005  0.7221  0.8664  4 Ir 2.84-3.00
Dy  0.0166  0.7263  0.1314  5 Ir 2.72-3.02
Dy  0.0950  0.2263  0.7097  5 Ir 2.72-3.02
Dy  0.1130  0.6130  0.5000  6 Ir 2.84-3.17
Dy  0.1148  0.9834  0.7097  5 Ir 2.72-3.02
Dy  0.1340  0.0005  0.2783  4 Ir 2.84-3.00
Dy  0.1443  0.8660  0.8664  4 Ir 2.84-3.00
Dy  0.1531  0.3469  0.5000  4 Ir 2.68-2.82
Dy  0.2221  0.5005  0.8664  4 Ir 2.84-3.00
Dy  0.2263  0.5166  0.1314  5 Ir 2.72-3.02
Dy  0.2500  0.7500  0.5000  4 Ir 2.87
Dy  0.2737  0.4050  0.2903  5 Ir 2.72-3.02
Dy  0.2779  0.1443  0.2783  4 Ir 2.84-3.00
Dy  0.3469  0.8469  0.1937  4 Ir 2.68-2.82
Dy  0.3557  0.2221  0.7217  4 Ir 2.84-3.00
Dy  0.3660  0.6443  0.8664  4 Ir 2.84-3.00
Dy  0.3852  0.0950  0.8686  5 Ir 2.72-3.02
Dy  0.3870  0.8870  0.5000  6 Ir 2.84-3.17
Dy  0.4050  0.1148  0.1314  5 Ir 2.72-3.02
Dy  0.4834  0.6148  0.7097  5 Ir 2.72-3.02
Dy  0.4995  0.3660  0.7217  4 Ir 2.84-3.00
Dy  0.5005  0.6340  0.2783  4 Ir 2.84-3.00
Dy  0.5166  0.3852  0.2903  5 Ir 2.72-3.02
Dy  0.5950  0.8852  0.8686  5 Ir 2.72-3.02
Dy  0.6130  0.1130  0.5000  6 Ir 2.84-3.17
Dy  0.6148  0.9050  0.1314  5 Ir 2.72-3.02
Dy  0.6340  0.3557  0.1336  4 Ir 2.84-3.00
Dy  0.6443  0.7779  0.2783  4 Ir 2.84-3.00
Dy  0.6531  0.1531  0.8063  4 Ir 2.68-2.82
Dy  0.7221  0.8557  0.7217  4 Ir 2.84-3.00
Dy  0.7263  0.5950  0.7097  5 Ir 2.72-3.02
Dy  0.7500  0.2500  0.5000  4 Ir 2.87
Dy  0.7737  0.4834  0.8686  5 Ir 2.72-3.02
Dy  0.7779  0.4995  0.1336  4 Ir 2.84-3.00
Dy  0.8469  0.6531  0.5000  4 Ir 2.68-2.82
Dy  0.8557  0.1340  0.1336  4 Ir 2.84-3.00
Dy  0.8660  0.9995  0.7217  4 Ir 2.84-3.00
Dy  0.8852  0.0166  0.2903  5 Ir 2.72-3.02
Dy  0.8870  0.3870  0.5000  6 Ir 2.84-3.17
Dy  0.9050  0.7737  0.2903  5 Ir 2.72-3.02
Dy  0.9834  0.2737  0.8686  5 Ir 2.72-3.02
Ir  0.0000  0.0000  0.0000  8 Dy 3.00, 2 Ir 3.30
Ir  0.0330  0.5330  0.1918  6 Dy 2.87-3.03
Ir  0.0745  0.2124  0.5000  6 Dy 2.68-2.87
Ir  0.0949  0.5949  0.6898  6 Dy 2.82-2.84, 1 Ir 2.97
Ir  0.1331  0.1331  0.0000  8 Dy 2.85-2.91, 1 Ir 2.90
Ir  0.1588  0.9670  0.5000  6 Dy 2.87-3.03
Ir  0.2124  0.7124  0.1379  6 Dy 2.68-2.87
Ir  0.2500  0.2500  0.0000  8 Dy 2.85, 2 Ir 2.90
Ir  0.2876  0.4255  0.5000  6 Dy 2.68-2.87
Ir  0.3412  0.8412  0.8082  6 Dy 2.87-3.03
Ir  0.3669  0.3669  0.0000  8 Dy 2.85-2.91, 1 Ir 2.90
Ir  0.4051  0.0949  0.5000  6 Dy 2.82-2.84, 1 Ir 2.97
Ir  0.4255  0.9255  0.1379  6 Dy 2.68-2.87
Ir  0.4670  0.6588  0.5000  6 Dy 2.87-3.03
Ir  0.5000  0.5000  0.0000  8 Dy 3.00, 2 Ir 3.30
Ir  0.5330  0.3412  0.5000  6 Dy 2.87-3.03
Ir  0.5745  0.0745  0.8621  6 Dy 2.68-2.87
Ir  0.5949  0.9051  0.5000  6 Dy 2.82-2.84, 1 Ir 2.97
Ir  0.6331  0.6331  0.0000  8 Dy 2.85-2.91, 1 Ir 2.90
Ir  0.6588  0.1588  0.1918  6 Dy 2.87-3.03
Ir  0.7124  0.5745  0.5000  6 Dy 2.68-2.87
Ir  0.7500  0.7500  0.0000  8 Dy 2.85, 2 Ir 2.90
Ir  0.7876  0.2876  0.8621  6 Dy 2.68-2.87
Ir  0.8412  0.0330  0.5000  6 Dy 2.87-3.03
Ir  0.8669  0.8669  0.0000  8 Dy 2.85-2.91, 1 Ir 2.90
Ir  0.9051  0.4051  0.3102  6 Dy 2.82-2.84, 1 Ir 2.97
Ir  0.9255  0.7876  0.5000  6 Dy 2.68-2.87
Ir  0.9670  0.4670  0.8082  6 Dy 2.87-3.03

Values from the calculation:
The energy of formation comes out at -0.981 eV/atom.


Record 6
First-principles (SCAN) data for BeOs2PtO at its PBEsol-relaxed geometry, as listed in the Alexandria database.

Cell lengths 4.1038, 4.1038, 3.9896 Å; angles 90.00, 90.00, 90.00 degrees
With the nearest neighbours (Å) after each atom.
Element x y z (fractional)
Be  0.0000  0.0000  0.0000  2 Pt 1.99, 4 Os 2.05
Os  0.0000  0.5000  0.0000  2 Be 2.05
Os  0.5000  0.0000  0.0000  2 Be 2.05
Pt  0.0000  0.0000  0.5000  2 Be 1.99
O  0.5000  0.5000  0.5000  8 Os 2.86, 4 Pt 2.90


Record 7
First-principles (SCAN) data for Na2CrOs at its PBEsol-relaxed geometry, as listed in the Alexandria database.

Cell lengths 4.6907, 4.6907, 4.6907 Å; angles 60.00, 60.00, 60.00 degrees
With the nearest neighbours (Å) after each atom.
Element x y z (fractional)
Na  0.2500  0.2500  0.2500  4 Os 2.87, 4 Cr 2.87
Na  0.7500  0.7500  0.7500  4 Os 2.87, 4 Cr 2.87
Cr  0.0000  0.0000  0.0000  8 Na 2.87
Os  0.5000  0.5000  0.5000  8 Na 2.87

Values from the calculation:
The energy of formation comes out at 1.382 eV/atom.


Record 8
First-principles (SCAN) data for Na4Er2Ir3O12 at its PBEsol-relaxed geometry, as listed in the Alexandria database.

Cell lengths 9.3033, 9.3033, 3.1575 Å; angles 90.00, 90.00, 120.00 degrees
With the nearest neighbours (Å) after each atom.
Element x y z (fractional)
Na  0.0000  0.0000  0.0000  6 O 2.43
Na  0.0000  0.7002  0.5000  7 O 2.23-2.46
Na  0.2998  0.2998  0.5000  7 O 2.23-2.46
Na  0.7002  0.0000  0.5000  7 O 2.23-2.46
Er  0.3333  0.6667  0.5000  6 O 2.28
Er  0.6667  0.3333  0.5000  6 O 2.28
Ir  0.0000  0.3326  0.0000  6 O 1.98-2.01
Ir  0.3326  0.0000  0.0000  6 O 1.98-2.01
Ir  0.6674  0.6674  0.0000  6 O 1.98-2.01
O  0.0000  0.1983  0.5000  2 Ir 2.01
O  0.0000  0.4605  0.5000  2 Ir 1.98
O  0.1983  0.0000  0.5000  2 Ir 2.01
O  0.2181  0.7548  0.0000  1 Ir 1.98
O  0.2452  0.4633  0.0000  1 Ir 1.98
O  0.4605  0.0000  0.5000  2 Ir 1.98
O  0.4633  0.2452  0.0000  1 Ir 1.98
O  0.5367  0.7819  0.0000  1 Ir 1.98
O  0.5395  0.5395  0.5000  2 Ir 1.98
O  0.7548  0.2181  0.0000  1 Ir 1.98
O  0.7819  0.5367  0.0000  1 Ir 1.98
O  0.8017  0.8017  0.5000  2 Ir 2.01


Record 9
First-principles (SCAN) data for BaLi3Zn at its PBEsol-relaxed geometry, as listed in the Alexandria database.

Cell lengths 5.1186, 5.1186, 5.1186 Å; angles 90.00, 90.00, 90.00 degrees
With the nearest neighbours (Å) after each atom.
Element x y z (fractional)
Ba  0.0000  0.0000  0.0000  12 Li 3.62
Li  0.0000  0.5000  0.5000  2 Zn 2.56
Li  0.5000  0.0000  0.5000  2 Zn 2.56
Li  0.5000  0.5000  0.0000  2 Zn 2.56
Zn  0.5000  0.5000  0.5000  6 Li 2.56

Values from the calculation:
The energy of formation comes out at 0.001 eV/atom.


Record 10
First-principles (SCAN) data for Re3RhI at its PBEsol-relaxed geometry, as listed in the Alexandria database.

Cell lengths 4.6896, 4.6896, 4.6896 Å; angles 90.00, 90.00, 90.00 degrees
With the nearest neighbours (Å) after each atom.
Element x y z (fractional)
Re  0.0000  0.0000  0.5000  2 I 2.34
Re  0.0000  0.5000  0.0000  2 I 2.34
Re  0.5000  0.0000  0.0000  2 I 2.34
Rh  0.5000  0.5000  0.5000  12 Re 3.32
I  0.0000  0.0000  0.0000  6 Re 2.34


Record 11
First-principles (SCAN) data for ReHg2Pt2 at its PBEsol-relaxed geometry, as listed in the Alexandria database.

Cell lengths 7.6448, 7.6448, 7.6448 Å; angles 152.56, 152.56, 39.19 degrees
With the nearest neighbours (Å) after each atom.
Element x y z (fractional)
Re  0.0000  0.0000  0.0000  8 Hg 2.94
Hg  0.3996  0.3996  0.0000  4 Pt 2.82, 1 Hg 2.89, 4 Re 2.94
Hg  0.6004  0.6004  0.0000  4 Pt 2.82, 1 Hg 2.89, 4 Re 2.94
Pt  0.2500  0.7500  0.5000  4 Pt 2.56, 4 Hg 2.82
Pt  0.7500  0.2500  0.5000  4 Pt 2.56, 4 Hg 2.82

Values from the calculation:
The energy of formation comes out at 1.046 eV/atom.


DOS at the Fermi energy in states/eV per atom, matching the order above: 0.2442, 0.5311, 0.4216, 1.2207, 0.4511, 1.1159, 1.4375, 0.3619, 0.6982, 0.6228, 0.6142
E in eV per atom, matching the order above: -20.292, -42.803, -11.822, -27.274, -58.099, -43.353, -23.292, -21.238, -12.046, -53.548, -68.517